Computed, not measured: an optimized crystal structure of KMo2Rh at the PBE-GGA level of DFT.

Unit cell a=3.149 b=3.149 c=8.639 alpha=90.00 beta=90.00 gamma=90.00
Atoms (fractional coordinates):
K 0.000 0.000 0.000
Mo 0.000 0.000 0.526
Mo 0.500 0.500 0.366
Rh 0.500 0.500 0.700

Results
The total energy is -6.890 eV per atom. The excess energy over the best structure of this formula in the dataset comes out at 0.0664 eV/atom. The energy relative to the elements comes out at 0.638 eV/atom. Its mass density is 6.47 g cm⁻³.